[1]
Below is a relaxed Na2Li3Ti3AlP6O24 crystal, with properties calculated at the GGA-PBEsol level.

Calculated values
ΔE_f (raw) ... -2499 meV per atom
Size of the total moment ... 2.002 μB/f.u.

Geometry as CIF:
```
data_Na2Li3Ti3AlP6O24
_cell_length_a 8.3798
_cell_length_b 8.3798
_cell_length_c 22.2041
_cell_angle_alpha 90.00
_cell_angle_beta 90.00
_cell_angle_gamma 120.00
_symmetry_space_group_name_H-M 'R 3'
_symmetry_Int_Tables_number 146
_symmetry_space_group_name_Hall 'R 3'
loop_
_atom_site_label
_atom_site_type_symbol
_atom_site_fract_x
_atom_site_fract_y
_atom_site_fract_z
_atom_site_occupancy
Na1 Na 0.0000 0.0000 0.0000 1
Na2 Na 0.0000 0.0000 0.4879 1
Li1 Li 0.0032 0.6388 0.2110 1
Ti1 Ti 0.0000 0.0000 0.1416 1
Ti2 Ti 0.0000 0.0000 0.3499 1
Ti3 Ti 0.0000 0.0000 0.6411 1
Al1 Al 0.0000 0.0000 0.8427 1
P1 P 0.0395 0.3719 0.9104 1
P2 P 0.0475 0.6685 0.4125 1
O1 O 0.0037 0.8109 0.6871 1
O2 O 0.0487 0.2082 0.5795 1
O3 O 0.0786 0.2126 0.8965 1
O4 O 0.0860 0.2294 0.1943 1
O5 O 0.1354 0.4602 0.9696 1
O6 O 0.1590 0.6797 0.0742 1
O7 O 0.1766 0.7249 0.4680 1
O8 O 0.1915 0.7373 0.7547 1
```

[2]
Below is a relaxed Na2Li4Ti3AlP6O24 crystal, with properties calculated at the GGA-PBEsol level.

Calculated values
ΔE_f (raw) ... -2469 meV per atom
Size of the total moment ... 3.000 μB/f.u.

Geometry as CIF:
```
data_Na2Li4Ti3AlP6O24
_cell_length_a 8.3310
_cell_length_b 8.3311
_cell_length_c 8.9279
_cell_angle_alpha 62.20
_cell_angle_beta 89.37
_cell_angle_gamma 60.46
_symmetry_space_group_name_H-M 'P 1'
_symmetry_Int_Tables_number 1
_symmetry_space_group_name_Hall 'P 1'
loop_
_atom_site_label
_atom_site_type_symbol
_atom_site_fract_x
_atom_site_fract_y
_atom_site_fract_z
_atom_site_occupancy
Na1 Na 0.0000 0.0000 0.0000 1
Na2 Na 0.3808 0.1560 0.5904 1
Li1 Li 0.2676 0.9034 0.4347 1
Li2 Li 0.5944 0.2937 0.2085 1
Li3 Li 0.6955 0.6610 0.7288 1
Li4 Li 0.9831 0.5384 0.4056 1
Ti1 Ti 0.2000 0.3961 0.1284 1
Ti2 Ti 0.4920 0.8025 0.0048 1
Ti3 Ti 0.6944 0.3959 0.6118 1
Al1 Al 0.9972 0.7921 0.5243 1
P1 P 0.1017 0.3213 0.8025 1
P2 P 0.2972 0.6021 0.3237 1
P3 P 0.3862 0.6024 0.8090 1
P4 P 0.5997 0.8913 0.3229 1
P5 P 0.8222 0.8741 0.8164 1
P6 P 0.8843 0.2964 0.3190 1
O1 O 0.0880 0.2271 0.2950 1
O2 O 0.1122 0.4869 0.6299 1
O3 O 0.1485 0.3294 0.9620 1
O4 O 0.1571 0.7770 0.3642 1
O5 O 0.1944 0.7616 0.6600 1
O6 O 0.2027 0.4845 0.3144 1
O7 O 0.2425 0.0936 0.8353 1
O8 O 0.3213 0.7256 0.1428 1
O9 O 0.3697 0.4810 0.9945 1
O10 O 0.4625 0.7392 0.8088 1
O11 O 0.4688 0.1221 0.2928 1
O12 O 0.4929 0.4222 0.4638 1
O13 O 0.5362 0.4328 0.7706 1
O14 O 0.5562 0.8823 0.1631 1
O15 O 0.5616 0.7398 0.4841 1
O16 O 0.6249 0.9222 0.8431 1
O17 O 0.7187 0.4766 0.1460 1
O18 O 0.8116 0.8219 0.3671 1
O19 O 0.8317 0.0739 0.7509 1
O20 O 0.8471 0.8004 0.6817 1
O21 O 0.8621 0.3808 0.4461 1
O22 O 0.8652 0.0999 0.3905 1
O23 O 0.8942 0.3708 0.7762 1
O24 O 0.9772 0.6962 0.9953 1
```

[3]
Below is a relaxed NaLiTiAlP3O12 crystal, with properties calculated at the GGA-PBEsol level.

Calculated values
ΔE_f (raw) ... -2552 meV per atom
Size of the total moment ... 0.000 μB/f.u.

Geometry as CIF:
```
data_NaLiTiAlP3O12
_cell_length_a 14.5253
_cell_length_b 8.4602
_cell_length_c 8.7251
_cell_angle_alpha 90.00
_cell_angle_beta 124.07
_cell_angle_gamma 90.00
_symmetry_space_group_name_H-M 'C 1 2 1'
_symmetry_Int_Tables_number 5
_symmetry_space_group_name_Hall 'C 2y'
loop_
_atom_site_label
_atom_site_type_symbol
_atom_site_fract_x
_atom_site_fract_y
_atom_site_fract_z
_atom_site_occupancy
Na1 Na 0.2409 0.0000 0.2389 1
Li1 Li 0.2047 0.8288 0.5766 1
Ti1 Ti 0.1107 0.0557 0.8190 1
Al1 Al 0.1050 0.5514 0.3072 1
P1 P 0.0000 0.7678 0.5000 1
P2 P 0.0000 0.8241 0.0000 1
P3 P 0.1432 0.4060 0.0118 1
P4 P 0.1463 0.2039 0.5050 1
O1 O 0.0348 0.4753 0.8567 1
O2 O 0.0381 0.1247 0.3505 1
O3 O 0.0668 0.9331 0.9531 1
O4 O 0.0681 0.6696 0.4502 1
O5 O 0.0865 0.7300 0.1697 1
O6 O 0.0898 0.8736 0.6596 1
O7 O 0.1465 0.2240 0.9915 1
O8 O 0.1470 0.3825 0.4776 1
O9 O 0.1625 0.1787 0.6934 1
O10 O 0.1681 0.4310 0.2066 1
O11 O 0.2385 0.4789 0.0046 1
O12 O 0.2425 0.1290 0.5008 1
```

[4]
Below is a relaxed NaLiAl4Si2O12 crystal, with properties calculated at the GGA-PBEsol level.

Calculated values
ΔE_f (raw) ... -2653 meV per atom
Size of the total moment ... 0.031 μB/f.u.

Geometry as CIF:
```
data_NaLiAl4Si2O12
_cell_length_a 5.2679
_cell_length_b 8.9898
_cell_length_c 19.0343
_cell_angle_alpha 90.00
_cell_angle_beta 95.37
_cell_angle_gamma 90.00
_symmetry_space_group_name_H-M 'C 1 c 1'
_symmetry_Int_Tables_number 9
_symmetry_space_group_name_Hall 'C -2yc'
loop_
_atom_site_label
_atom_site_type_symbol
_atom_site_fract_x
_atom_site_fract_y
_atom_site_fract_z
_atom_site_occupancy
Na1 Na 0.0000 0.0868 0.0000 1
Li1 Li 0.2380 0.2548 0.2507 1
Al1 Al 0.0375 0.4237 0.1042 1
Al2 Al 0.2180 0.4044 0.7502 1
Al3 Al 0.2798 0.0910 0.7500 1
Al4 Al 0.4551 0.2519 0.8961 1
Si1 Si 0.0455 0.2452 0.6038 1
Si2 Si 0.4637 0.0808 0.3962 1
O1 O 0.0294 0.0434 0.2155 1
O2 O 0.0449 0.4392 0.1981 1
O3 O 0.1022 0.2488 0.6927 1
O4 O 0.1373 0.4042 0.5746 1
O5 O 0.2172 0.1124 0.5749 1
O6 O 0.2415 0.2793 0.0845 1
O7 O 0.2588 0.3903 0.9264 1
O8 O 0.2824 0.2181 0.4155 1
O9 O 0.3619 0.0764 0.9244 1
O10 O 0.3905 0.2486 0.8025 1
O11 O 0.4552 0.0692 0.3072 1
O12 O 0.4714 0.4602 0.2847 1
```

[5]
Below is a relaxed Na2LiAlP2 crystal, with properties calculated at the GGA-PBEsol level.

Calculated values
Formation energy from the elements ... -0.625 eV/atom
Size of the total moment ... 0.000 μB/f.u.

Geometry as CIF:
```
data_Na2LiAlP2
_cell_length_a 11.5018
_cell_length_b 13.5559
_cell_length_c 5.7483
_cell_angle_alpha 90.00
_cell_angle_beta 90.00
_cell_angle_gamma 90.00
_symmetry_space_group_name_H-M 'C m c e'
_symmetry_Int_Tables_number 64
_symmetry_space_group_name_Hall '-C 2ac 2'
loop_
_atom_site_label
_atom_site_type_symbol
_atom_site_fract_x
_atom_site_fract_y
_atom_site_fract_z
_atom_site_occupancy
Na1 Na 0.0000 0.1782 0.2140 1
Na2 Na 0.2500 0.1814 0.7500 1
Li1 Li 0.1187 0.0000 0.0000 1
Al1 Al 0.1296 0.0000 0.5000 1
P1 P 0.0000 0.1047 0.7149 1
P2 P 0.2500 0.1018 0.2500 1
```

[6]
Below is a relaxed NaLiAl2Rh crystal, with properties calculated at the GGA-PBEsol level.

Calculated values
Formation energy from the elements ... 0.694 eV/atom
Size of the total moment ... 0.002 μB/f.u.

Geometry as CIF:
```
data_NaLiAl2Rh
_cell_length_a 4.4621
_cell_length_b 4.4621
_cell_length_c 4.1010
_cell_angle_alpha 90.00
_cell_angle_beta 90.00
_cell_angle_gamma 90.00
_symmetry_space_group_name_H-M 'P 4/m m m'
_symmetry_Int_Tables_number 123
_symmetry_space_group_name_Hall '-P 4 2'
loop_
_atom_site_label
_atom_site_type_symbol
_atom_site_fract_x
_atom_site_fract_y
_atom_site_fract_z
_atom_site_occupancy
Na1 Na 0.0000 0.0000 0.0000 1
Li1 Li 0.0000 0.0000 0.5000 1
Al1 Al 0.0000 0.5000 0.5000 1
Rh1 Rh 0.5000 0.5000 0.0000 1
```